First-principles (PBE) data for Pr3Al after structural relaxation, as listed in OQMD via LeMat-Bulk.

Output
As for the energy above the most stable polymorph in this dataset: 154 meV per atom.

Unit cell a=7.8631 b=7.8631 c=7.8631 alpha=90.00 beta=90.00 gamma=90.00
Closest atoms and distances in Å follow each position.
Space group Fm-3m (No. 225)
Unique sites:
Pr  0.0000  0.0000  0.0000 x4  8 Pr 3.40
Pr  0.2500  0.2500  0.2500 x8  4 Pr 3.40, 4 Al 3.40
Al  0.0000  0.0000  0.5000 x4  8 Pr 3.40